This record from Alexandria via LeMat-Bulk describes CsSb2I6 after structural relaxation. The functional is PBE.

- Crystal system: trigonal
- V: 502.8 Å³ per cell
- Formation energy without anion corrections: -0.472 eV per atom

Geometry as POSCAR:
```
CsSb2I6
1.0
-6.415 1.887 5.937
-8.454 -2.411 -1.634
-3.779 -6.537 4.729
Cs Sb I
1 2 6
Direct
0.367 0.367 0.899
0.774 0.774 0.679
0.625 0.625 0.126
0.850 0.382 0.788
0.979 0.850 0.788
0.382 0.979 0.788
0.323 0.493 0.311
0.872 0.323 0.311
0.493 0.872 0.311
```



This record from Alexandria via LeMat-Bulk describes Li8Cd3Ga after structural relaxation. The functional is PBE.

- Energy relative to the elements: -0.1386 eV per atom
- Crystal system: orthorhombic
- V: 228.4 Å³ per cell
- Relative energy among the computed polymorphs: 0.000 eV/atom

Geometry as POSCAR:
```
Li8Cd3Ga
1.0
-6.916 -6.473 0.287
5.850 4.060 4.776
1.126 5.459 7.660
Li Cd Ga
8 3 1
Direct
0.154 0.000 0.330
0.403 0.494 0.597
0.910 0.506 0.090
0.670 0.000 0.846
0.846 0.000 0.670
0.597 0.506 0.403
0.090 0.494 0.910
0.330 0.000 0.154
0.750 0.500 0.750
0.250 0.500 0.250
0.500 0.000 0.500
0.000 0.000 0.000
```



This record from Alexandria via LeMat-Bulk describes La2Zn3IrPt12 after structural relaxation. The functional is PBE.

- Energy relative to the elements: -0.2903 eV per atom
- Crystal system: trigonal
- V: 354.1 Å³ per cell

Geometry as POSCAR:
```
La2Zn3IrPt12
1.0
9.353 1.469 1.042
5.897 7.408 1.042
5.897 3.432 6.647
La Zn Ir Pt
2 3 1 12
Direct
0.656 0.656 0.656
0.344 0.344 0.344
0.500 0.000 0.000
0.000 0.500 0.000
0.000 0.000 0.500
0.000 0.000 0.000
0.414 0.414 0.812
0.914 0.914 0.373
0.373 0.914 0.914
0.812 0.414 0.414
0.914 0.373 0.914
0.414 0.812 0.414
0.586 0.586 0.188
0.086 0.086 0.627
0.627 0.086 0.086
0.188 0.586 0.586
0.086 0.627 0.086
0.586 0.188 0.586
```



This record from Alexandria via LeMat-Bulk describes LiTmGa3 after structural relaxation. The functional is PBE.

- Energy relative to the elements: -0.3256 eV per atom
- Crystal system: orthorhombic
- V: 200.1 Å³ per cell

Geometry as POSCAR:
```
LiTmGa3
1.0
4.395 0.000 0.000
0.000 3.404 0.000
0.000 -1.702 13.371
Li Tm Ga
2 2 6
Direct
0.250 0.075 0.150
0.750 0.925 0.850
0.250 0.789 0.577
0.750 0.211 0.423
0.250 0.384 0.767
0.750 0.616 0.233
0.250 0.477 0.954
0.750 0.523 0.046
0.750 0.328 0.655
0.250 0.672 0.345
```



This record from Alexandria via LeMat-Bulk describes Cd5AgAu after structural relaxation. The functional is PBE.

- Energy relative to the elements: -0.0393 eV per atom
- Crystal system: monoclinic
- V: 306.2 Å³ per cell
- Relative energy among the computed polymorphs: 0.020 eV/atom

Geometry as POSCAR:
```
Cd5AgAu
1.0
-0.157 -7.208 -1.648
4.210 -2.465 -5.558
6.960 -6.219 0.230
Cd Ag Au
10 2 2
Direct
0.786 0.805 0.954
0.993 0.500 0.754
0.805 0.786 0.454
0.688 0.312 0.250
0.500 0.007 0.746
0.500 0.993 0.254
0.312 0.688 0.750
0.195 0.214 0.546
0.007 0.500 0.246
0.214 0.195 0.046
0.000 0.000 0.000
0.000 0.000 0.500
0.311 0.689 0.250
0.689 0.311 0.750
```



This record from Alexandria via LeMat-Bulk describes TbHo4PbS8 after structural relaxation. The functional is PBE.

- Crystal system: trigonal
- V: 379.5 Å³ per cell
- Formation energy without anion corrections: -1.767 eV per atom

Geometry as POSCAR:
```
TbHo4PbS8
1.0
-0.595 -1.740 -7.900
-3.227 -7.055 -2.367
-7.309 -0.115 -3.588
Tb Ho Pb S
1 4 1 8
Direct
0.002 0.002 0.994
0.625 0.625 0.124
0.002 0.494 0.502
0.494 0.002 0.502
0.002 0.002 0.502
0.374 0.374 0.877
0.238 0.791 0.733
0.791 0.238 0.733
0.238 0.238 0.733
0.236 0.236 0.293
0.756 0.228 0.260
0.228 0.756 0.260
0.756 0.756 0.260
0.758 0.758 0.727
```



This record from Alexandria via LeMat-Bulk describes Mg2GaAg5 after structural relaxation. The functional is PBE.

- Energy relative to the elements: 0.2163 eV per atom
- Crystal system: tetragonal
- V: 181.1 Å³ per cell
- Relative energy among the computed polymorphs: 0.363 eV/atom

Geometry as POSCAR:
```
Mg2GaAg5
1.0
-0.916 0.250 4.670
-6.048 -0.156 -1.177
0.091 -6.153 0.347
Mg Ga Ag
2 1 5
Direct
0.500 0.500 0.000
0.500 0.000 0.500
0.000 0.000 0.000
0.000 0.717 0.717
0.000 0.283 0.717
0.000 0.717 0.283
0.500 0.000 0.000
0.000 0.283 0.283
```



This record from Alexandria via LeMat-Bulk describes K2YTe after structural relaxation. The functional is PBE.

- Crystal system: tetragonal
- V: 144.7 Å³ per cell
- Formation energy without anion corrections: -0.222 eV per atom

Geometry as POSCAR:
```
K2YTe
1.0
-1.456 -4.308 -1.394
2.725 0.336 -3.884
4.862 -2.672 3.180
K Te Y
2 1 1
Direct
0.000 0.000 0.000
0.500 0.500 0.000
0.500 0.000 0.500
0.000 0.500 0.500
```



This record from Alexandria via LeMat-Bulk describes Ho2BiO3 after structural relaxation. The functional is PBE.

- Crystal system: monoclinic
- V: 220.0 Å³ per cell
- Formation energy without anion corrections: -2.723 eV per atom

Geometry as POSCAR:
```
Ho2BiO3
1.0
-0.030 2.292 -2.928
-3.726 -5.221 -1.688
-4.939 7.075 5.588
Ho Bi O
4 2 6
Direct
0.523 0.045 0.746
0.477 0.955 0.254
0.839 0.678 0.441
0.161 0.322 0.559
0.858 0.717 0.924
0.142 0.283 0.076
0.344 0.688 0.579
0.016 0.033 0.639
0.693 0.387 0.720
0.307 0.613 0.280
0.984 0.967 0.361
0.656 0.312 0.421
```



This record from Alexandria via LeMat-Bulk describes Pm3MgGe5 after structural relaxation. The functional is PBE.

- Energy relative to the elements: -0.5159 eV per atom
- Crystal system: hexagonal
- V: 408.2 Å³ per cell

Geometry as POSCAR:
```
Pm3MgGe5
1.0
6.010 0.000 0.000
0.000 8.856 0.000
0.000 -4.428 7.670
Pm Mg Ge
6 2 10
Direct
0.750 0.376 0.000
0.750 0.624 0.624
0.750 0.000 0.376
0.250 0.624 0.000
0.250 0.376 0.376
0.250 0.000 0.624
0.000 0.000 0.000
0.500 0.000 0.000
0.000 0.333 0.667
0.500 0.667 0.333
0.000 0.667 0.333
0.500 0.333 0.667
0.750 0.716 0.000
0.750 0.284 0.284
0.750 0.000 0.716
0.250 0.284 0.000
0.250 0.716 0.716
0.250 0.000 0.284
```



This record from Alexandria via LeMat-Bulk describes ScCdAg2 after structural relaxation. The functional is PBE.

- Energy relative to the elements: -0.1887 eV per atom
- Crystal system: tetragonal
- V: 78.0 Å³ per cell

Geometry as POSCAR:
```
ScCdAg2
1.0
-1.394 4.892 0.428
-1.402 2.598 4.165
3.043 2.688 1.656
Sc Ag Cd
1 2 1
Direct
0.250 0.250 0.250
0.000 0.000 0.000
0.750 0.750 0.750
0.500 0.500 0.500
```



This record from Alexandria via LeMat-Bulk describes CdPd2Pt5 after structural relaxation. The functional is PBE.

- Energy relative to the elements: -0.1204 eV per atom
- Crystal system: orthorhombic
- V: 255.8 Å³ per cell

Geometry as POSCAR:
```
CdPd2Pt5
1.0
-3.826 0.172 0.853
1.176 -1.012 5.475
0.927 11.263 1.882
Cd Pd Pt
2 4 10
Direct
0.000 0.000 0.500
0.000 0.500 0.000
0.500 0.245 0.623
0.500 0.755 0.377
0.500 0.255 0.123
0.500 0.745 0.877
0.000 0.000 0.000
0.000 0.500 0.500
0.000 0.487 0.752
0.000 0.513 0.248
0.000 0.013 0.252
0.000 0.987 0.748
0.500 0.233 0.869
0.500 0.767 0.131
0.500 0.267 0.369
0.500 0.733 0.631
```



This record from Alexandria via LeMat-Bulk describes LiCeErSe3 after structural relaxation. The functional is PBE.

- Crystal system: monoclinic
- V: 291.4 Å³ per cell
- Formation energy without anion corrections: -1.645 eV per atom

Geometry as POSCAR:
```
LiCeErSe3
1.0
-2.125 1.132 -3.220
-0.143 -7.959 -2.703
-7.280 0.644 5.031
Li Ce Er Se
2 2 2 6
Direct
0.250 0.087 0.584
0.750 0.913 0.416
0.250 0.188 0.226
0.750 0.812 0.774
0.250 0.668 0.160
0.750 0.332 0.840
0.750 0.902 0.133
0.250 0.098 0.867
0.250 0.776 0.496
0.750 0.224 0.504
0.750 0.435 0.172
0.250 0.565 0.828
```



This record from Alexandria via LeMat-Bulk describes Cd2HgRh2 after structural relaxation. The functional is PBE.

- Energy relative to the elements: -0.0435 eV per atom
- Crystal system: tetragonal
- V: 189.8 Å³ per cell
- Relative energy among the computed polymorphs: 0.000 eV/atom

Geometry as POSCAR:
```
Cd2HgRh2
1.0
-1.217 5.967 3.589
-5.220 -3.193 3.539
2.476 -1.097 2.663
Rh Hg Cd
4 2 4
Direct
0.366 0.866 0.000
0.866 0.634 0.000
0.634 0.134 0.000
0.134 0.366 0.000
0.000 0.000 0.000
0.500 0.500 0.000
0.163 0.663 0.500
0.663 0.837 0.500
0.837 0.337 0.500
0.337 0.163 0.500
```



This record from Alexandria via LeMat-Bulk describes Sr2ZnBr after structural relaxation. The functional is PBE.

- Crystal system: orthorhombic
- V: 140.9 Å³ per cell
- Relative energy among the computed polymorphs: 0.088 eV/atom
- Formation energy without anion corrections: -0.728 eV per atom

Geometry as POSCAR:
```
Sr2ZnBr
1.0
-1.751 1.236 -8.692
-1.189 -4.418 -7.695
-1.366 1.525 8.715
Br Sr Zn
1 2 1
Direct
0.203 0.703 0.500
0.036 0.036 0.000
0.808 0.308 0.500
0.452 0.452 0.000
```



This record from Alexandria via LeMat-Bulk describes BaCa2Mg after structural relaxation. The functional is PBE.

- Energy relative to the elements: 0.0753 eV per atom
- Crystal system: trigonal
- V: 169.9 Å³ per cell

Geometry as POSCAR:
```
BaCa2Mg
1.0
12.308 -0.037 -0.022
11.660 3.939 -0.022
11.660 1.898 3.452
Ba Ca Mg
1 2 1
Direct
0.750 0.750 0.750
0.987 0.987 0.987
0.513 0.513 0.513
0.250 0.250 0.250
```



This record from Alexandria via LeMat-Bulk describes Ca2ReMoAs after structural relaxation. The functional is PBE.

- Energy relative to the elements: 0.9431 eV per atom
- Crystal system: tetragonal
- V: 135.5 Å³ per cell

Geometry as POSCAR:
```
Ca2ReMoAs
1.0
5.405 0.000 0.000
0.000 4.638 0.000
0.000 0.000 5.405
Re Mo Ca As
1 1 2 1
Direct
0.000 0.500 0.000
0.500 0.500 0.500
0.000 0.000 0.500
0.500 0.000 0.000
0.000 0.000 0.000
```



This record from Alexandria via LeMat-Bulk describes CaPr2NdTe4 after structural relaxation. The functional is PBE.

- Crystal system: monoclinic
- V: 260.4 Å³ per cell
- Formation energy without anion corrections: -1.475 eV per atom

Geometry as POSCAR:
```
CaPr2NdTe4
1.0
4.476 0.000 0.000
0.000 7.845 -0.194
0.000 2.725 7.347
Ca Pr Nd Te
1 2 1 4
Direct
0.500 0.500 0.000
0.000 0.000 0.000
0.500 0.000 0.500
0.000 0.500 0.500
0.000 0.743 0.755
0.000 0.257 0.245
0.500 0.745 0.248
0.500 0.255 0.752
```



This record from Alexandria via LeMat-Bulk describes K3Tm2NpSe6 after structural relaxation. The functional is PBE.

- Crystal system: monoclinic
- V: 353.5 Å³ per cell
- Formation energy without anion corrections: -1.573 eV per atom

Geometry as POSCAR:
```
K3Tm2NpSe6
1.0
-4.277 -5.109 2.955
5.075 -1.888 -4.880
4.819 1.342 6.305
K Tm Np Se
3 2 1 6
Direct
0.166 0.834 0.500
0.834 0.166 0.500
0.500 0.500 0.500
0.334 0.666 0.000
0.666 0.334 0.000
0.000 0.000 0.000
0.931 0.591 0.796
0.727 0.727 0.205
0.069 0.409 0.204
0.591 0.931 0.796
0.273 0.273 0.795
0.409 0.069 0.204
```



This record from Alexandria via LeMat-Bulk describes Be2CuAsO6 after structural relaxation. The functional is PBE.

- Crystal system: monoclinic
- V: 225.5 Å³ per cell
- Formation energy without anion corrections: -1.423 eV per atom

Geometry as POSCAR:
```
Be2CuAsO6
1.0
-3.658 3.860 2.137
-6.290 -2.014 -1.159
-0.571 -0.900 6.620
Be Cu As O
4 2 2 12
Direct
0.403 0.733 0.584
0.097 0.416 0.267
0.597 0.267 0.416
0.903 0.584 0.733
0.250 0.779 0.221
0.750 0.221 0.779
0.250 0.159 0.841
0.750 0.841 0.159
0.232 0.915 0.793
0.268 0.207 0.085
0.768 0.085 0.207
0.732 0.793 0.915
0.466 0.831 0.356
0.034 0.644 0.169
0.534 0.169 0.644
0.966 0.356 0.831
0.190 0.601 0.583
0.310 0.417 0.399
0.810 0.399 0.417
0.690 0.583 0.601
```



This record from Alexandria via LeMat-Bulk describes Ba2MnAl after structural relaxation. The functional is PBE.

- Energy relative to the elements: 0.3336 eV per atom
- Crystal system: orthorhombic
- V: 140.9 Å³ per cell

Geometry as POSCAR:
```
Ba2MnAl
1.0
9.209 0.009 0.020
-3.672 4.520 0.055
1.865 1.474 3.407
Mn Ba Al
1 2 1
Direct
0.000 0.500 0.500
0.000 0.000 0.000
0.500 0.000 0.500
0.500 0.500 0.000
```



This record from Alexandria via LeMat-Bulk describes BaAlRh2 after structural relaxation. The functional is PBE.

- Energy relative to the elements: -0.4703 eV per atom
- Crystal system: trigonal
- V: 96.9 Å³ per cell
- Relative energy among the computed polymorphs: 0.000 eV/atom

Geometry as POSCAR:
```
BaAlRh2
1.0
4.440 0.004 -0.018
2.216 3.847 -0.018
2.244 1.298 5.663
Rh Ba Al
2 1 1
Direct
0.065 0.065 0.804
0.435 0.435 0.696
0.250 0.250 0.250
0.750 0.750 0.750
```